[1]
! CaAl4CuPd2 (GGA-PBE, relaxed); values from VASP
! ΔE_f	-0.5440	eV per atom
! DOS(E_F)	3.121	states/eV/f.u.
! DFT total energy	-4.476	eV/atom
! space-group type	R-3m
&SYSTEM
  ibrav = 0, nat = 8, ntyp = 4
/
ATOMIC_SPECIES
Ca 40.08 Ca.upf
Al 26.98 Al.upf
Cu 63.55 Cu.upf
Pd 106.42 Pd.upf
ATOMIC_POSITIONS crystal
Ca 0.000 0.000 0.000
Al 0.134 0.134 0.134
Al 0.407 0.407 0.407
Al 0.593 0.593 0.593
Al 0.866 0.866 0.866
Cu 0.500 0.500 0.500
Pd 0.233 0.233 0.233
Pd 0.767 0.767 0.767
CELL_PARAMETERS angstrom
2.129 1.229 9.088
-2.129 1.229 9.088
0.000 -2.459 9.088

[2]
! Ca2Al5Cu2Pd (GGA-PBE, relaxed); values from VASP
! ΔE_f	-0.3299	eV per atom
! DOS(E_F)	3.267	states/eV/f.u.
! DFT total energy	-3.940	eV/atom
! space-group type	P4/mbm
&SYSTEM
  ibrav = 0, nat = 20, ntyp = 4
/
ATOMIC_SPECIES
Ca 40.08 Ca.upf
Al 26.98 Al.upf
Cu 63.55 Cu.upf
Pd 106.42 Pd.upf
ATOMIC_POSITIONS crystal
Ca 0.182 0.318 0.000
Ca 0.318 0.818 0.000
Ca 0.682 0.182 0.000
Ca 0.818 0.682 0.000
Al 0.000 0.500 0.500
Al 0.055 0.800 0.500
Al 0.200 0.055 0.500
Al 0.300 0.555 0.500
Al 0.445 0.300 0.500
Al 0.500 0.000 0.500
Al 0.555 0.700 0.500
Al 0.700 0.445 0.500
Al 0.800 0.945 0.500
Al 0.945 0.200 0.500
Cu 0.114 0.614 0.000
Cu 0.386 0.114 0.000
Cu 0.614 0.886 0.000
Cu 0.886 0.386 0.000
Pd 0.000 0.000 0.000
Pd 0.500 0.500 0.000
CELL_PARAMETERS angstrom
9.588 0.000 0.000
0.000 9.588 0.000
0.000 0.000 3.922

[3]
! CaAl4Cu2Pd (GGA-PBE, relaxed); values from VASP
! ΔE_f	-0.3721	eV per atom
! DOS(E_F)	2.095	states/eV/f.u.
! DFT total energy	-4.167	eV/atom
! space-group type	R-3m
&SYSTEM
  ibrav = 0, nat = 8, ntyp = 4
/
ATOMIC_SPECIES
Ca 40.08 Ca.upf
Al 26.98 Al.upf
Cu 63.55 Cu.upf
Pd 106.42 Pd.upf
ATOMIC_POSITIONS crystal
Ca 0.000 0.000 0.000
Al 0.130 0.130 0.130
Al 0.407 0.407 0.407
Al 0.593 0.593 0.593
Al 0.870 0.870 0.870
Cu 0.233 0.233 0.233
Cu 0.767 0.767 0.767
Pd 0.500 0.500 0.500
CELL_PARAMETERS angstrom
2.098 1.211 9.331
-2.098 1.211 9.331
0.000 -2.423 9.331

[4]
! Ca2Al3Cu12Pd (GGA-PBE, relaxed); values from VASP
! ΔE_f	0.0721	eV per atom
! DOS(E_F)	6.053	states/eV/f.u.
! DFT total energy	-3.793	eV/atom
! space-group type	R-3m
&SYSTEM
  ibrav = 0, nat = 18, ntyp = 4
/
ATOMIC_SPECIES
Ca 40.08 Ca.upf
Al 26.98 Al.upf
Cu 63.55 Cu.upf
Pd 106.42 Pd.upf
ATOMIC_POSITIONS crystal
Ca 0.149 0.149 0.149
Ca 0.851 0.851 0.851
Al 0.000 0.500 0.500
Al 0.500 0.000 0.500
Al 0.500 0.500 0.000
Cu 0.082 0.082 0.689
Cu 0.082 0.689 0.082
Cu 0.148 0.565 0.565
Cu 0.311 0.918 0.918
Cu 0.435 0.435 0.852
Cu 0.435 0.852 0.435
Cu 0.565 0.148 0.565
Cu 0.565 0.565 0.148
Cu 0.689 0.082 0.082
Cu 0.852 0.435 0.435
Cu 0.918 0.311 0.918
Cu 0.918 0.918 0.311
Pd 0.500 0.500 0.500
CELL_PARAMETERS angstrom
3.060 1.767 9.355
-3.060 1.767 9.355
0.000 -3.534 9.355

[5]
! CaAlCuPd (GGA-PBE, relaxed); values from VASP
! ΔE_f	-0.5267	eV per atom
! distance to the lowest polymorph of the same formula	0.000	eV/atom
! DOS(E_F)	2.000	states/eV/f.u.
! DFT total energy	-4.285	eV/atom
! space-group type	Cm
&SYSTEM
  ibrav = 0, nat = 8, ntyp = 4
/
ATOMIC_SPECIES
Ca 40.08 Ca.upf
Al 26.98 Al.upf
Cu 63.55 Cu.upf
Pd 106.42 Pd.upf
ATOMIC_POSITIONS crystal
Ca 0.000 0.000 0.000
Ca 0.500 0.500 0.000
Al 0.496 0.000 0.487
Al 0.996 0.500 0.487
Cu 0.197 0.000 0.590
Cu 0.697 0.500 0.590
Pd 0.302 0.500 0.407
Pd 0.802 0.000 0.407
CELL_PARAMETERS angstrom
7.485 0.000 0.000
0.000 4.332 0.000
-2.497 0.000 5.016

[6]
! Ca2Al3CuPt4 (GGA-PBE, relaxed); values from VASP
! ΔE_f	-0.9144	eV per atom
! DOS(E_F)	3.898	states/eV/f.u.
! DFT total energy	-5.263	eV/atom
! space-group type	P-4m2
&SYSTEM
  ibrav = 0, nat = 10, ntyp = 4
/
ATOMIC_SPECIES
Ca 40.08 Ca.upf
Al 26.98 Al.upf
Cu 63.55 Cu.upf
Pt 195.08 Pt.upf
ATOMIC_POSITIONS crystal
Ca 0.000 0.500 0.241
Ca 0.500 0.000 0.759
Al 0.000 0.000 0.000
Al 0.000 0.500 0.631
Al 0.500 0.000 0.369
Cu 0.500 0.500 0.000
Pt 0.000 0.000 0.500
Pt 0.000 0.500 0.859
Pt 0.500 0.000 0.141
Pt 0.500 0.500 0.500
CELL_PARAMETERS angstrom
4.148 0.000 0.000
0.000 4.148 0.000
0.000 0.000 10.800

[7]
! Ca2Al4Cu3Pt (GGA-PBE, relaxed); values from VASP
! ΔE_f	-0.4556	eV per atom
! DOS(E_F)	4.297	states/eV/f.u.
! DFT total energy	-4.186	eV/atom
! space-group type	P-4m2
&SYSTEM
  ibrav = 0, nat = 10, ntyp = 4
/
ATOMIC_SPECIES
Ca 40.08 Ca.upf
Al 26.98 Al.upf
Cu 63.55 Cu.upf
Pt 195.08 Pt.upf
ATOMIC_POSITIONS crystal
Ca 0.000 0.500 0.248
Ca 0.500 0.000 0.752
Al 0.000 0.000 0.000
Al 0.000 0.500 0.629
Al 0.500 0.000 0.371
Al 0.500 0.500 0.000
Cu 0.000 0.500 0.866
Cu 0.500 0.000 0.134
Cu 0.500 0.500 0.500
Pt 0.000 0.000 0.500
CELL_PARAMETERS angstrom
4.185 0.000 0.000
0.000 4.185 0.000
0.000 0.000 10.469

[8]
! CaAl4Cu2Pt (GGA-PBE, relaxed); values from VASP
! ΔE_f	-0.4220	eV per atom
! DOS(E_F)	2.051	states/eV/f.u.
! DFT total energy	-4.323	eV/atom
! space-group type	R-3m
&SYSTEM
  ibrav = 0, nat = 8, ntyp = 4
/
ATOMIC_SPECIES
Ca 40.08 Ca.upf
Al 26.98 Al.upf
Cu 63.55 Cu.upf
Pt 195.08 Pt.upf
ATOMIC_POSITIONS crystal
Ca 0.000 0.000 0.000
Al 0.131 0.131 0.131
Al 0.407 0.407 0.407
Al 0.593 0.593 0.593
Al 0.869 0.869 0.869
Cu 0.240 0.240 0.240
Cu 0.760 0.760 0.760
Pt 0.500 0.500 0.500
CELL_PARAMETERS angstrom
2.100 1.213 9.291
-2.100 1.213 9.291
0.000 -2.425 9.291

[9]
! Ca2Al2CuPt5 (GGA-PBE, relaxed); values from VASP
! ΔE_f	-0.7878	eV per atom
! DOS(E_F)	4.019	states/eV/f.u.
! DFT total energy	-5.367	eV/atom
! space-group type	P4/mbm
&SYSTEM
  ibrav = 0, nat = 20, ntyp = 4
/
ATOMIC_SPECIES
Ca 40.08 Ca.upf
Al 26.98 Al.upf
Cu 63.55 Cu.upf
Pt 195.08 Pt.upf
ATOMIC_POSITIONS crystal
Ca 0.174 0.326 0.000
Ca 0.326 0.826 0.000
Ca 0.674 0.174 0.000
Ca 0.826 0.674 0.000
Al 0.128 0.628 0.000
Al 0.372 0.128 0.000
Al 0.628 0.872 0.000
Al 0.872 0.372 0.000
Cu 0.000 0.000 0.000
Cu 0.500 0.500 0.000
Pt 0.000 0.500 0.500
Pt 0.064 0.800 0.500
Pt 0.200 0.064 0.500
Pt 0.300 0.564 0.500
Pt 0.436 0.300 0.500
Pt 0.500 0.000 0.500
Pt 0.564 0.700 0.500
Pt 0.700 0.436 0.500
Pt 0.800 0.936 0.500
Pt 0.936 0.200 0.500
CELL_PARAMETERS angstrom
9.932 0.000 0.000
0.000 9.932 0.000
0.000 0.000 3.514

[10]
! Ca2Al4CuPt3 (GGA-PBE, relaxed); values from VASP
! ΔE_f	-0.8721	eV per atom
! DOS(E_F)	4.301	states/eV/f.u.
! DFT total energy	-4.991	eV/atom
! space-group type	P-4m2
&SYSTEM
  ibrav = 0, nat = 10, ntyp = 4
/
ATOMIC_SPECIES
Ca 40.08 Ca.upf
Al 26.98 Al.upf
Cu 63.55 Cu.upf
Pt 195.08 Pt.upf
ATOMIC_POSITIONS crystal
Ca 0.000 0.500 0.243
Ca 0.500 0.000 0.757
Al 0.000 0.000 0.500
Al 0.000 0.500 0.879
Al 0.500 0.000 0.121
Al 0.500 0.500 0.500
Cu 0.500 0.500 0.000
Pt 0.000 0.000 0.000
Pt 0.000 0.500 0.632
Pt 0.500 0.000 0.368
CELL_PARAMETERS angstrom
4.347 0.000 0.000
0.000 4.347 0.000
0.000 0.000 10.041

[11]
! CaAl4CuPt2 (GGA-PBE, relaxed); values from VASP
! ΔE_f	-0.6888	eV per atom
! DOS(E_F)	3.876	states/eV/f.u.
! DFT total energy	-4.832	eV/atom
! space-group type	R-3m
&SYSTEM
  ibrav = 0, nat = 8, ntyp = 4
/
ATOMIC_SPECIES
Ca 40.08 Ca.upf
Al 26.98 Al.upf
Cu 63.55 Cu.upf
Pt 195.08 Pt.upf
ATOMIC_POSITIONS crystal
Ca 0.000 0.000 0.000
Al 0.134 0.134 0.134
Al 0.407 0.407 0.407
Al 0.593 0.593 0.593
Al 0.866 0.866 0.866
Cu 0.500 0.500 0.500
Pt 0.234 0.234 0.234
Pt 0.766 0.766 0.766
CELL_PARAMETERS angstrom
2.130 1.230 8.991
-2.130 1.230 8.991
0.000 -2.460 8.991

[12]
! CaScAlCu (GGA-PBE, relaxed); values from VASP
! ΔE_f	-0.1508	eV per atom
! DOS(E_F)	3.237	states/eV/f.u.
! DFT total energy	-4.194	eV/atom
! space-group type	F-43m
&SYSTEM
  ibrav = 0, nat = 16, ntyp = 4
/
ATOMIC_SPECIES
Ca 40.08 Ca.upf
Sc 44.96 Sc.upf
Al 26.98 Al.upf
Cu 63.55 Cu.upf
ATOMIC_POSITIONS crystal
Ca 0.000 0.000 0.000
Ca 0.000 0.500 0.500
Ca 0.500 0.000 0.500
Ca 0.500 0.500 0.000
Sc 0.000 0.000 0.500
Sc 0.000 0.500 0.000
Sc 0.500 0.000 0.000
Sc 0.500 0.500 0.500
Al 0.250 0.250 0.250
Al 0.250 0.750 0.750
Al 0.750 0.250 0.750
Al 0.750 0.750 0.250
Cu 0.250 0.250 0.750
Cu 0.250 0.750 0.250
Cu 0.750 0.250 0.250
Cu 0.750 0.750 0.750
CELL_PARAMETERS angstrom
6.972 0.000 0.000
0.000 6.972 0.000
0.000 0.000 6.972

[13]
! CaAl2Cu4Si (GGA-PBE, relaxed); values from VASP
! DOS(E_F)	3.451	states/eV/f.u.
! DFT total energy	-4.034	eV/atom
! space-group type	R-3m
&SYSTEM
  ibrav = 0, nat = 8, ntyp = 4
/
ATOMIC_SPECIES
Ca 40.08 Ca.upf
Al 26.98 Al.upf
Cu 63.55 Cu.upf
Si 28.09 Si.upf
ATOMIC_POSITIONS crystal
Ca 0.000 0.000 0.000
Al 0.244 0.244 0.244
Al 0.756 0.756 0.756
Cu 0.132 0.132 0.132
Cu 0.411 0.411 0.411
Cu 0.589 0.589 0.589
Cu 0.868 0.868 0.868
Si 0.500 0.500 0.500
CELL_PARAMETERS angstrom
2.059 1.189 8.831
-2.059 1.189 8.831
0.000 -2.378 8.831

[14]
! CaAlCu2Si (GGA-PBE, relaxed); values from VASP
! DOS(E_F)	1.940	states/eV/f.u.
! DFT total energy	-4.200	eV/atom
! space-group type	Imm2
&SYSTEM
  ibrav = 0, nat = 10, ntyp = 4
/
ATOMIC_SPECIES
Ca 40.08 Ca.upf
Al 26.98 Al.upf
Cu 63.55 Cu.upf
Si 28.09 Si.upf
ATOMIC_POSITIONS crystal
Ca 0.000 0.000 0.000
Ca 0.500 0.500 0.500
Al 0.000 0.500 0.747
Al 0.500 0.000 0.247
Cu 0.000 0.000 0.610
Cu 0.000 0.500 0.263
Cu 0.500 0.000 0.763
Cu 0.500 0.500 0.110
Si 0.000 0.000 0.390
Si 0.500 0.500 0.890
CELL_PARAMETERS angstrom
4.016 0.000 0.000
0.000 4.038 0.000
0.000 0.000 10.652

[15]
! CaAlCuSi2 (GGA-PBE, relaxed); values from VASP
! distance to the lowest polymorph of the same formula	0.674	eV/atom
! DOS(E_F)	2.365	states/eV/f.u.
! DFT total energy	-3.806	eV/atom
! space-group type	P4/mmm
&SYSTEM
  ibrav = 0, nat = 5, ntyp = 4
/
ATOMIC_SPECIES
Ca 40.08 Ca.upf
Al 26.98 Al.upf
Cu 63.55 Cu.upf
Si 28.09 Si.upf
ATOMIC_POSITIONS crystal
Ca 0.000 0.000 0.000
Al 0.500 0.500 0.500
Cu 0.500 0.500 0.000
Si 0.000 0.500 0.500
Si 0.500 0.000 0.500
CELL_PARAMETERS angstrom
4.836 0.000 0.000
0.000 4.836 0.000
0.000 0.000 4.607

[16]
! CaAlCu4Si2 (GGA-PBE, relaxed); values from VASP
! DOS(E_F)	3.081	states/eV/f.u.
! DFT total energy	-4.266	eV/atom
! space-group type	R-3m
&SYSTEM
  ibrav = 0, nat = 8, ntyp = 4
/
ATOMIC_SPECIES
Ca 40.08 Ca.upf
Al 26.98 Al.upf
Cu 63.55 Cu.upf
Si 28.09 Si.upf
ATOMIC_POSITIONS crystal
Ca 0.000 0.000 0.000
Al 0.500 0.500 0.500
Cu 0.120 0.120 0.120
Cu 0.410 0.410 0.410
Cu 0.590 0.590 0.590
Cu 0.880 0.880 0.880
Si 0.250 0.250 0.250
Si 0.750 0.750 0.750
CELL_PARAMETERS angstrom
2.017 1.165 9.006
-2.017 1.165 9.006
0.000 -2.329 9.006

[17]
! CaAl2Cu2Si (GGA-PBE, relaxed); values from VASP
! DOS(E_F)	2.253	states/eV/f.u.
! DFT total energy	-3.841	eV/atom
! space-group type	P4/mmm
&SYSTEM
  ibrav = 0, nat = 6, ntyp = 4
/
ATOMIC_SPECIES
Ca 40.08 Ca.upf
Al 26.98 Al.upf
Cu 63.55 Cu.upf
Si 28.09 Si.upf
ATOMIC_POSITIONS crystal
Ca 0.000 0.000 0.000
Al 0.500 0.500 0.240
Al 0.500 0.500 0.760
Cu 0.000 0.500 0.500
Cu 0.500 0.000 0.500
Si 0.000 0.000 0.500
CELL_PARAMETERS angstrom
4.479 0.000 0.000
0.000 4.479 0.000
0.000 0.000 5.620

[18]
! CaAlCuSi2 (GGA-PBE, relaxed); values from VASP
! distance to the lowest polymorph of the same formula	0.000	eV/atom
! DOS(E_F)	1.113	states/eV/f.u.
! DFT total energy	-4.480	eV/atom
! space-group type	I-4m2
&SYSTEM
  ibrav = 0, nat = 10, ntyp = 4
/
ATOMIC_SPECIES
Ca 40.08 Ca.upf
Al 26.98 Al.upf
Cu 63.55 Cu.upf
Si 28.09 Si.upf
ATOMIC_POSITIONS crystal
Ca 0.000 0.000 0.000
Ca 0.500 0.500 0.500
Al 0.000 0.500 0.250
Al 0.500 0.000 0.750
Cu 0.000 0.500 0.750
Cu 0.500 0.000 0.250
Si 0.000 0.000 0.385
Si 0.000 0.000 0.615
Si 0.500 0.500 0.115
Si 0.500 0.500 0.885
CELL_PARAMETERS angstrom
4.138 0.000 0.000
0.000 4.138 0.000
0.000 0.000 10.292

[19]
! Ca2AlCu3Si4 (GGA-PBE, relaxed); values from VASP
! DOS(E_F)	1.522	states/eV/f.u.
! DFT total energy	-4.555	eV/atom
! space-group type	P-4m2
&SYSTEM
  ibrav = 0, nat = 10, ntyp = 4
/
ATOMIC_SPECIES
Ca 40.08 Ca.upf
Al 26.98 Al.upf
Cu 63.55 Cu.upf
Si 28.09 Si.upf
ATOMIC_POSITIONS crystal
Ca 0.000 0.500 0.245
Ca 0.500 0.000 0.755
Al 0.000 0.000 0.500
Cu 0.000 0.500 0.866
Cu 0.500 0.000 0.134
Cu 0.500 0.500 0.500
Si 0.000 0.000 0.000
Si 0.000 0.500 0.644
Si 0.500 0.000 0.356
Si 0.500 0.500 0.000
CELL_PARAMETERS angstrom
3.969 0.000 0.000
0.000 3.969 0.000
0.000 0.000 10.669

[20]
! CaAlCu3Si (GGA-PBE, relaxed); values from VASP
! DOS(E_F)	1.456	states/eV/f.u.
! DFT total energy	-4.009	eV/atom
! space-group type	Cmcm
&SYSTEM
  ibrav = 0, nat = 12, ntyp = 4
/
ATOMIC_SPECIES
Ca 40.08 Ca.upf
Al 26.98 Al.upf
Cu 63.55 Cu.upf
Si 28.09 Si.upf
ATOMIC_POSITIONS crystal
Ca 0.208 0.792 0.750
Ca 0.792 0.208 0.250
Al 0.459 0.541 0.750
Al 0.541 0.459 0.250
Cu 0.195 0.195 0.000
Cu 0.195 0.195 0.500
Cu 0.337 0.663 0.250
Cu 0.663 0.337 0.750
Cu 0.805 0.805 0.000
Cu 0.805 0.805 0.500
Si 0.133 0.867 0.250
Si 0.867 0.133 0.750
CELL_PARAMETERS angstrom
3.148 -5.891 0.000
3.148 5.891 0.000
0.000 0.000 5.579

[21]
! Ca2AlCu4Si3 (GGA-PBE, relaxed); values from VASP
! DOS(E_F)	4.801	states/eV/f.u.
! DFT total energy	-4.406	eV/atom
! space-group type	P-4m2
&SYSTEM
  ibrav = 0, nat = 10, ntyp = 4
/
ATOMIC_SPECIES
Ca 40.08 Ca.upf
Al 26.98 Al.upf
Cu 63.55 Cu.upf
Si 28.09 Si.upf
ATOMIC_POSITIONS crystal
Ca 0.000 0.500 0.241
Ca 0.500 0.000 0.759
Al 0.000 0.000 0.500
Cu 0.000 0.000 0.000
Cu 0.000 0.500 0.639
Cu 0.500 0.000 0.361
Cu 0.500 0.500 0.000
Si 0.000 0.500 0.871
Si 0.500 0.000 0.129
Si 0.500 0.500 0.500
CELL_PARAMETERS angstrom
4.029 0.000 0.000
0.000 4.029 0.000
0.000 0.000 10.230

[22]
! Ca2AlCu6Si (GGA-PBE, relaxed); values from VASP
! DOS(E_F)	2.838	states/eV/f.u.
! DFT total energy	-3.739	eV/atom
! space-group type	Fmmm
&SYSTEM
  ibrav = 0, nat = 10, ntyp = 4
/
ATOMIC_SPECIES
Ca 40.08 Ca.upf
Al 26.98 Al.upf
Cu 63.55 Cu.upf
Si 28.09 Si.upf
ATOMIC_POSITIONS crystal
Ca 0.250 0.250 0.250
Ca 0.750 0.750 0.750
Al 0.000 0.000 0.000
Cu 0.255 0.255 0.745
Cu 0.255 0.745 0.255
Cu 0.255 0.745 0.745
Cu 0.745 0.255 0.255
Cu 0.745 0.255 0.745
Cu 0.745 0.745 0.255
Si 0.500 0.500 0.500
CELL_PARAMETERS angstrom
0.000 4.557 4.564
4.555 0.000 4.564
4.555 4.557 0.000

[23]
! SrCaAlCu (GGA-PBE, relaxed); values from VASP
! ΔE_f	-0.0179	eV per atom
! distance to the lowest polymorph of the same formula	0.132	eV/atom
! DOS(E_F)	2.918	states/eV/f.u.
! DFT total energy	-2.898	eV/atom
! space-group type	F-43m
&SYSTEM
  ibrav = 0, nat = 16, ntyp = 4
/
ATOMIC_SPECIES
Sr 87.62 Sr.upf
Ca 40.08 Ca.upf
Al 26.98 Al.upf
Cu 63.55 Cu.upf
ATOMIC_POSITIONS crystal
Sr 0.000 0.000 0.000
Sr 0.000 0.500 0.500
Sr 0.500 0.000 0.500
Sr 0.500 0.500 0.000
Ca 0.000 0.000 0.500
Ca 0.000 0.500 0.000
Ca 0.500 0.000 0.000
Ca 0.500 0.500 0.500
Al 0.250 0.250 0.250
Al 0.250 0.750 0.750
Al 0.750 0.250 0.750
Al 0.750 0.750 0.250
Cu 0.250 0.250 0.750
Cu 0.250 0.750 0.250
Cu 0.750 0.250 0.250
Cu 0.750 0.750 0.750
CELL_PARAMETERS angstrom
7.544 0.000 0.000
0.000 7.544 0.000
0.000 0.000 7.544